Material: BaMgZnSn2
Method: DFT, GGA-PBE
State: optimized geometry

```
BaMgZnSn2
1.0
-3.488 -3.288 0.861
1.797 -0.737 4.466
-2.689 6.322 -0.530
Zn Ba Sn Mg
1 1 2 1
direct
0.250 0.750 0.500
0.000 0.000 0.000
0.622 0.622 0.245
0.378 0.378 0.755
0.750 0.250 0.500
```

Values from the calculation:
crystal system = tetragonal
ΔE_f = -0.422 eV/atom
spin magnetization = 0.00 μB/f.u.
SG = I-4m2 (119)
density = 5.4 g cm⁻³